GaCuSe2: relaxed, PBE. Values from VASP.

```
&SYSTEM
  ibrav = 0, nat = 8, ntyp = 3
/
ATOMIC_SPECIES
Ga 69.72 Ga.upf
Se 78.96 Se.upf
Cu 63.55 Cu.upf
ATOMIC_POSITIONS angstrom
Ga 0.4851 3.5336 2.7235
Ga -0.6641 2.9686 6.5184
Se -0.2428 0.5535 6.2902
Se 0.8427 1.1051 2.5331
Se 1.4049 4.0858 7.2484
Se -1.3288 3.9208 4.3454
Cu 3.1820 3.6560 5.6514
Cu 1.5318 0.2021 4.6786
CELL_PARAMETERS angstrom
-3.3278 2.2207 5.6042
1.5648 -0.4232 6.6922
2.8048 4.0451 -2.7830
```

Values from the calculation:
Energy   -31.32 eV for the cell shown